A geometry-optimized GdYTe2 structure. Source: Alexandria, functional GGA-PBE.

Output
Raw formation energy: -1.3673 eV per atom
V: 119.5 Å³/cell

Cell: 4.396 4.396 7.578 Å, 73.14 73.14 60.00°
Fractional coordinates of all 4 atoms:
Y 0.000 0.000 0.000
Te 0.749 0.749 0.753
Te 0.251 0.251 0.247
Gd 0.500 0.500 0.500

***

A geometry-optimized HfVBBr2 structure. Source: Alexandria, functional GGA-PBE.

Output
Raw formation energy: 1.1976 eV per atom
V: 115.9 Å³/cell

Cell: 4.578 5.531 4.578 Å, 90.00 90.00 90.00°
Fractional coordinates of all 5 atoms:
B 0.500 0.500 0.500
Hf 0.000 0.500 0.000
V 0.000 0.000 0.000
Br 0.000 0.000 0.500
Br 0.500 0.000 0.000

***

A geometry-optimized BiIO4 structure. Source: Alexandria, functional GGA-PBE.

Output
Raw formation energy: -0.7642 eV per atom
V: 370.7 Å³/cell

Cell: 5.703 5.775 11.258 Å, 90.00 90.00 90.00°
Fractional coordinates of all 24 atoms:
Bi 0.018 0.806 0.891
O 0.123 0.426 0.781
O 0.259 0.569 0.001
I 0.503 0.330 0.366
O 0.746 0.674 0.433
O 0.246 0.674 0.567
O 0.377 0.926 0.781
I 0.003 0.330 0.634
O 0.254 0.174 0.567
O 0.623 0.426 0.219
O 0.347 0.084 0.295
I 0.997 0.830 0.366
O 0.153 0.584 0.295
O 0.759 0.569 0.999
I 0.497 0.830 0.634
Bi 0.482 0.306 0.891
Bi 0.518 0.806 0.109
O 0.653 0.584 0.705
O 0.241 0.069 0.001
O 0.741 0.069 0.999
Bi 0.982 0.306 0.109
O 0.754 0.174 0.433
O 0.847 0.084 0.705
O 0.877 0.926 0.219

***

A geometry-optimized Sm2Ga7Pd structure. Source: Alexandria, functional GGA-PBE.

Output
Formation enthalpy at 0 K: -0.55 eV/atom
V: 194.6 Å³/cell

Cell: 4.244 4.244 10.804 Å, 90.00 90.00 90.00°
Fractional coordinates of all 10 atoms:
Ga 0.500 0.000 0.131
Ga 0.000 0.000 0.000
Ga 0.000 0.500 0.641
Ga 0.500 0.500 0.500
Sm 0.000 0.500 0.247
Sm 0.500 0.000 0.753
Ga 0.000 0.500 0.869
Ga 0.000 0.000 0.500
Pd 0.500 0.500 0.000
Ga 0.500 0.000 0.359

***

A geometry-optimized Hg2TeBr structure. Source: Alexandria, functional GGA-PBE.

Output
Raw formation energy: -0.0603 eV per atom
V: 123.5 Å³/cell

Cell: 7.803 7.803 7.803 Å, 149.90 148.69 43.99°
Fractional coordinates of all 4 atoms:
Br 0.282 0.782 0.500
Hg 0.697 0.197 0.500
Te 0.534 0.534 0.000
Hg 0.986 0.986 0.000

***

A geometry-optimized Cu2SiTe structure. Source: Alexandria, functional GGA-PBE.

Output
Raw formation energy: 0.1411 eV per atom
V: 73.4 Å³/cell

Cell: 5.922 5.922 5.922 Å, 38.82 38.82 38.82°
Fractional coordinates of all 4 atoms:
Cu 0.202 0.202 0.202
Cu 0.970 0.970 0.970
Si 0.584 0.584 0.584
Te 0.744 0.744 0.744

***

A geometry-optimized MgSn5 structure. Source: Alexandria, functional GGA-PBE.

Output
Formation enthalpy at 0 K: 0.02 eV/atom
V: 320.8 Å³/cell

Cell: 5.490 6.236 9.371 Å, 90.00 90.00 90.03°
Fractional coordinates of all 12 atoms:
Sn 0.250 0.973 0.083
Sn 0.750 0.166 0.250
Sn 0.750 0.526 0.583
Mg 0.248 0.334 0.750
Sn 0.250 0.973 0.417
Sn 0.750 0.027 0.917
Mg 0.752 0.666 0.250
Sn 0.750 0.027 0.583
Sn 0.250 0.474 0.083
Sn 0.250 0.474 0.417
Sn 0.750 0.526 0.917
Sn 0.250 0.834 0.750

***

A geometry-optimized CeCl4 structure. Source: Alexandria, functional GGA-PBE.

Output
Raw formation energy: -1.5503 eV per atom
V: 158.1 Å³/cell

Cell: 5.407 5.407 5.407 Å, 90.00 90.00 90.00°
Fractional coordinates of all 5 atoms:
Cl 0.500 0.000 0.500
Cl 0.000 0.000 0.000
Cl 0.500 0.500 0.000
Cl 0.000 0.500 0.500
Ce 0.500 0.500 0.500

***

Number 1: size of the total moment 6.863 μB per formula unit. Number 2: size of the total moment 0.000 μB per formula unit. Number 3: size of the total moment 0.000 μB per formula unit. Number 4: size of the total moment 0.000 μB per formula unit. Number 5: size of the total moment 0.000 μB per formula unit. Number 6: size of the total moment 0.000 μB per formula unit. Number 7: size of the total moment 0.000 μB per formula unit. Number 8: size of the total moment 1.108 μB per formula unit.